Entry 1:
Entry from Alexandria: MnBPdAuI after structural relaxation (PBE).

## Properties
E_form (uncorrected) (eV/atom): 0.16
Fermi-level density of states (states/eV/cell): 3.58
Excess energy over the best structure of this formula in the dataset (meV per atom): 63.5

a = 5.7357 Å, b = 3.2893 Å, c = 10.0555 Å
α = 90.00°, β = 101.03°, γ = 90.00°
Closest atoms and distances in Å follow each position.
Space group Cm (No. 8)
Unique sites:
Mn 0.0000 0.0000 0.0000 (multiplicity 2)  3 B 2.22-2.23
B 0.2049 0.5000 0.1153 (multiplicity 2)  3 Pd 2.10, 3 Mn 2.22-2.23
Pd 0.4024 0.0000 0.2053 (multiplicity 2)  3 B 2.10
Au 0.2670 0.0000 0.8063 (multiplicity 2)  3 Mn 2.70, 1 I 2.89
I 0.1690 0.0000 0.5140 (multiplicity 2)  1 Au 2.89

---

Entry 2:
Entry from Alexandria: MnBPdAuI after structural relaxation (PBE).

## Properties
E_form (uncorrected) (eV/atom): 0.27
Fermi-level density of states (states/eV/cell): 1.44
Excess energy over the best structure of this formula in the dataset (meV per atom): 172.3

a = 6.5809 Å, b = 3.7963 Å, c = 8.8069 Å
α = 90.00°, β = 104.59°, γ = 90.00°
Closest atoms and distances in Å follow each position.
Space group Cm (No. 8)
Unique sites:
Mn 0.0000 0.0000 0.0000 (multiplicity 2)  1 B 2.05
B 0.4185 0.5000 0.7596 (multiplicity 2)  1 Pd 1.95, 1 Mn 2.05
Pd 0.3422 0.5000 0.5307 (multiplicity 2)  1 B 1.95
Au 0.2557 0.0000 0.7711 (multiplicity 2)  3 B 2.19-2.20
I 0.2349 0.5000 0.2032 (multiplicity 2)  1 Pd 2.79, 3 Mn 2.79-2.80

---

Entry 3:
Entry from Alexandria: MnBPdAuI after structural relaxation (PBE).

## Properties
E_form (uncorrected) (eV/atom): 0.14
Fermi-level density of states (states/eV/cell): 9.81
Excess energy over the best structure of this formula in the dataset (meV per atom): 42.7

a = 3.4184 Å, b = 3.4184 Å, c = 25.7616 Å
α = 90.00°, β = 90.00°, γ = 120.00°
Closest atoms and distances in Å follow each position.
Space group R3m (No. 160, hexagonal axes)
Unique sites:
Mn 0.0000 0.0000 0.0000 (multiplicity 3)  3 B 2.22
B 0.0000 0.0000 0.3730 (multiplicity 3)  3 Pd 2.18, 3 Mn 2.22
Pd 0.0000 0.0000 0.7421 (multiplicity 3)  3 B 2.18
Au 0.0000 0.0000 0.1521 (multiplicity 3)  3 Pd 2.79
I 0.0000 0.0000 0.5892 (multiplicity 3)  3 Mn 2.81

---

Entry 4:
Entry from Alexandria: BAuI2N after structural relaxation (PBE).

## Properties
E_form (uncorrected) (eV/atom): 0.21
Fermi-level density of states (states/eV/cell): 1.66
Excess energy over the best structure of this formula in the dataset (meV per atom): 0.0

a = 6.9843 Å, b = 6.9843 Å, c = 2.7277 Å
α = 90.00°, β = 90.00°, γ = 90.00°
Closest atoms and distances in Å follow each position.
Space group P4/mmm (No. 123)
Unique sites:
B 0.0000 0.0000 0.0000 (multiplicity 1)  2 N 1.36
Au 0.5000 0.5000 0.5000 (multiplicity 1)  2 Au 2.73
I 0.0000 0.5000 0.0000 (multiplicity 2)  2 I 2.73
N 0.0000 0.0000 0.5000 (multiplicity 1)  2 B 1.36